Record 1
Compound: Nd2Br3O
Source: Alexandria
Functional: GGA-PBE
Structure: relaxed

Structure (CIF):
```
data_Nd2Br3O
_cell_length_a 18.2134
_cell_length_b 4.1175
_cell_length_c 11.5575
_cell_angle_alpha 90.00
_cell_angle_beta 123.38
_cell_angle_gamma 90.00
_symmetry_space_group_name_H-M 'C 1 2/m 1'
_symmetry_Int_Tables_number 12
loop_
_symmetry_equiv_pos_as_xyz
'x,y,z'
'-x,-y,-z'
'-x,y,-z'
'x,-y,z'
'x+1/2,y+1/2,z'
'-x+1/2,-y+1/2,-z'
'-x+1/2,y+1/2,-z'
'x+1/2,-y+1/2,z'
loop_
_atom_site_label
_atom_site_fract_x
_atom_site_fract_y
_atom_site_fract_z
Nd1 0.0752 0.0000 0.4572
Nd2 0.1332 0.5000 0.7810
Br1 0.0382 0.5000 0.2381
Br2 0.1673 0.0000 0.0092
Br3 0.2201 0.5000 0.6192
O1 0.0804 0.0000 0.6663
```

Calculated values
- total magnetization (μB per formula unit) = 0.00
- crystal system = monoclinic
- final energy (eV per atom) = -5.54



Record 2
Compound: NdPBrO4
Source: Alexandria
Functional: GGA-PBE
Structure: relaxed

Structure (CIF):
```
data_NdPBrO4
_cell_length_a 11.3743
_cell_length_b 6.3996
_cell_length_c 6.7585
_cell_angle_alpha 90.00
_cell_angle_beta 100.07
_cell_angle_gamma 90.00
_symmetry_space_group_name_H-M 'C 1 2/m 1'
_symmetry_Int_Tables_number 12
loop_
_symmetry_equiv_pos_as_xyz
'x,y,z'
'-x,-y,-z'
'-x,y,-z'
'x,-y,z'
'x+1/2,y+1/2,z'
'-x+1/2,-y+1/2,-z'
'-x+1/2,y+1/2,-z'
'x+1/2,-y+1/2,z'
loop_
_atom_site_label
_atom_site_fract_x
_atom_site_fract_y
_atom_site_fract_z
Nd1 0.2016 0.0000 0.3145
P1 0.1368 0.0000 0.7543
Br1 0.0206 0.5000 0.1723
O1 0.0008 0.0000 0.7361
O2 0.1787 0.1917 0.6362
O3 0.1994 0.0000 0.9739
```

Calculated values
- total magnetization (μB per formula unit) = 0.00
- crystal system = monoclinic
- final energy (eV per atom) = -6.96



Record 3
Compound: NdPb2BrO4
Source: Alexandria
Functional: GGA-PBE
Structure: relaxed

Structure (CIF):
```
data_NdPb2BrO4
_cell_length_a 4.0615
_cell_length_b 4.0615
_cell_length_c 9.2849
_cell_angle_alpha 90.00
_cell_angle_beta 90.00
_cell_angle_gamma 90.00
_symmetry_space_group_name_H-M 'P 4/m m m'
_symmetry_Int_Tables_number 123
_symmetry_space_group_name_Hall '-P 4 2'
loop_
_atom_site_label
_atom_site_fract_x
_atom_site_fract_y
_atom_site_fract_z
Nd1 0.0000 0.0000 0.0000
Pb1 0.5000 0.5000 0.2671
Br1 0.0000 0.0000 0.5000
O1 0.0000 0.5000 0.1512
```

Calculated values
- total magnetization (μB per formula unit) = 0.00
- crystal system = tetragonal
- final energy (eV per atom) = -5.82



Record 4
Compound: Pr2NdBrO4
Source: Alexandria
Functional: GGA-PBE
Structure: relaxed

Structure (CIF):
```
data_Pr2NdBrO4
_cell_length_a 4.0810
_cell_length_b 4.0810
_cell_length_c 9.5409
_cell_angle_alpha 90.00
_cell_angle_beta 90.00
_cell_angle_gamma 90.00
_symmetry_space_group_name_H-M 'P 4/m m m'
_symmetry_Int_Tables_number 123
_symmetry_space_group_name_Hall '-P 4 2'
loop_
_atom_site_label
_atom_site_fract_x
_atom_site_fract_y
_atom_site_fract_z
Pr1 0.0000 0.0000 0.2405
Nd1 0.5000 0.5000 0.5000
Br1 0.5000 0.5000 0.0000
O1 0.0000 0.5000 0.3481
```

Calculated values
- total magnetization (μB per formula unit) = 0.00
- crystal system = tetragonal
- final energy (eV per atom) = -7.56



Record 5
Compound: NdPu2BrO4
Source: Alexandria
Functional: GGA-PBE
Structure: relaxed

Structure (CIF):
```
data_NdPu2BrO4
_cell_length_a 4.0096
_cell_length_b 4.0096
_cell_length_c 9.2017
_cell_angle_alpha 90.00
_cell_angle_beta 90.00
_cell_angle_gamma 90.00
_symmetry_space_group_name_H-M 'P 4/m m m'
_symmetry_Int_Tables_number 123
_symmetry_space_group_name_Hall '-P 4 2'
loop_
_atom_site_label
_atom_site_fract_x
_atom_site_fract_y
_atom_site_fract_z
Nd1 0.0000 0.0000 0.0000
Pu1 0.5000 0.5000 0.2658
Br1 0.0000 0.0000 0.5000
O1 0.0000 0.5000 0.1597
```

Calculated values
- total magnetization (μB per formula unit) = 10.00
- crystal system = tetragonal
- final energy (eV per atom) = -9.73



Record 6
Compound: NdRuBrO4
Source: Alexandria
Functional: GGA-PBE
Structure: relaxed

Structure (CIF):
```
data_NdRuBrO4
_cell_length_a 10.7434
_cell_length_b 7.3968
_cell_length_c 7.0948
_cell_angle_alpha 90.00
_cell_angle_beta 104.78
_cell_angle_gamma 90.00
_symmetry_space_group_name_H-M 'C 1 2/m 1'
_symmetry_Int_Tables_number 12
loop_
_symmetry_equiv_pos_as_xyz
'x,y,z'
'-x,-y,-z'
'-x,y,-z'
'x,-y,z'
'x+1/2,y+1/2,z'
'-x+1/2,-y+1/2,-z'
'-x+1/2,y+1/2,-z'
'x+1/2,-y+1/2,z'
loop_
_atom_site_label
_atom_site_fract_x
_atom_site_fract_y
_atom_site_fract_z
Nd1 0.2285 0.0000 0.1151
Ru1 0.1354 0.5000 0.2741
Br1 0.0131 0.0000 0.7540
O1 0.0336 0.5000 0.7719
O2 0.1933 0.3224 0.1365
O3 0.2120 0.5000 0.5249
```

Calculated values
- total magnetization (μB per formula unit) = 2.02
- crystal system = monoclinic
- final energy (eV per atom) = -6.69



Record 7
Compound: Nd6Ru2Br3O
Source: Alexandria
Functional: GGA-PBE
Structure: relaxed

Structure (CIF):
```
data_Nd6Ru2Br3O
_cell_length_a 6.9076
_cell_length_b 11.9466
_cell_length_c 8.1221
_cell_angle_alpha 90.00
_cell_angle_beta 106.40
_cell_angle_gamma 90.00
_symmetry_space_group_name_H-M 'C 1 2/m 1'
_symmetry_Int_Tables_number 12
loop_
_symmetry_equiv_pos_as_xyz
'x,y,z'
'-x,-y,-z'
'-x,y,-z'
'x,-y,z'
'x+1/2,y+1/2,z'
'-x+1/2,-y+1/2,-z'
'-x+1/2,y+1/2,-z'
'x+1/2,-y+1/2,z'
loop_
_atom_site_label
_atom_site_fract_x
_atom_site_fract_y
_atom_site_fract_z
Nd1 0.2232 0.1598 0.1895
Nd2 0.2451 0.5000 0.1902
Ru1 0.0000 0.3339 0.0000
Br1 0.0000 0.1699 0.5000
Br2 0.0000 0.5000 0.5000
O1 0.0000 0.0000 0.0000
```

Calculated values
- total magnetization (μB per formula unit) = 0.00
- crystal system = monoclinic
- final energy (eV per atom) = -5.93



Record 8
Compound: Nd2SBr2O
Source: Alexandria
Functional: GGA-PBE
Structure: relaxed

Structure (CIF):
```
data_Nd2SBr2O
_cell_length_a 4.0493
_cell_length_b 11.5605
_cell_length_c 7.2612
_cell_angle_alpha 90.00
_cell_angle_beta 90.00
_cell_angle_gamma 90.00
_symmetry_space_group_name_H-M 'P m c 21'
_symmetry_Int_Tables_number 26
loop_
_symmetry_equiv_pos_as_xyz
'x,y,z'
'-x,-y,z+1/2'
'-x,y,z'
'x,-y,z+1/2'
loop_
_atom_site_label
_atom_site_fract_x
_atom_site_fract_y
_atom_site_fract_z
Nd1 0.0000 0.0648 0.0000
Nd2 0.5000 0.2192 0.4052
S1 0.5000 0.0587 0.6945
Br1 0.0000 0.3852 0.5430
Br2 0.5000 0.2702 0.0123
O1 0.0000 0.1217 0.3340
```

Calculated values
- total magnetization (μB per formula unit) = 0.00
- crystal system = orthorhombic
- final energy (eV per atom) = -6.04



Record 9
Compound: Nd2SmBrO4
Source: Alexandria
Functional: GGA-PBE
Structure: relaxed

Structure (CIF):
```
data_Nd2SmBrO4
_cell_length_a 4.0408
_cell_length_b 4.0408
_cell_length_c 9.4470
_cell_angle_alpha 90.00
_cell_angle_beta 90.00
_cell_angle_gamma 90.00
_symmetry_space_group_name_H-M 'P 4/m m m'
_symmetry_Int_Tables_number 123
_symmetry_space_group_name_Hall '-P 4 2'
loop_
_atom_site_label
_atom_site_fract_x
_atom_site_fract_y
_atom_site_fract_z
Nd1 0.0000 0.0000 0.2418
Sm1 0.5000 0.5000 0.5000
Br1 0.5000 0.5000 0.0000
O1 0.0000 0.5000 0.3494
```

Calculated values
- total magnetization (μB per formula unit) = 0.00
- crystal system = tetragonal
- final energy (eV per atom) = -7.58



Record 10
Compound: NdTeBrO4
Source: Alexandria
Functional: GGA-PBE
Structure: relaxed

Structure (CIF):
```
data_NdTeBrO4
_cell_length_a 10.8945
_cell_length_b 7.4899
_cell_length_c 7.1778
_cell_angle_alpha 90.00
_cell_angle_beta 106.33
_cell_angle_gamma 90.00
_symmetry_space_group_name_H-M 'C 1 2/m 1'
_symmetry_Int_Tables_number 12
loop_
_symmetry_equiv_pos_as_xyz
'x,y,z'
'-x,-y,-z'
'-x,y,-z'
'x,-y,z'
'x+1/2,y+1/2,z'
'-x+1/2,-y+1/2,-z'
'-x+1/2,y+1/2,-z'
'x+1/2,-y+1/2,z'
loop_
_atom_site_label
_atom_site_fract_x
_atom_site_fract_y
_atom_site_fract_z
Nd1 0.2296 0.0000 0.1248
Te1 0.1347 0.5000 0.2649
Br1 0.0106 0.0000 0.7565
O1 0.0396 0.5000 0.8016
O2 0.2001 0.3173 0.1448
O3 0.2040 0.5000 0.5272
```

Calculated values
- total magnetization (μB per formula unit) = 0.00
- crystal system = monoclinic
- final energy (eV per atom) = -5.88